(1)
This record from the Alexandria database describes a geometry-optimized NaCdGa2 structure. The functional is PBE.

Structure (extended XYZ):
```
4
Lattice="-0.709 2.779 3.635 0.172 -1.719 4.296 4.873 1.374 2.849" Properties=species:S:1:pos:R:3 pbc="T T T"
Ga 4.050 1.208 2.816
Na 2.346 1.253 5.397
Cd 4.221 2.021 8.125
Ga 0.761 0.543 2.682
```

Results
Symmetry: R3m
Energy (eV per atom): -2.055


(2)
This record from the Alexandria database describes a geometry-optimized Al2CrRh structure. The functional is PBE.

Structure (extended XYZ):
```
4
Lattice="-0.111 2.215 8.351 -2.534 0.876 8.215 -0.188 -0.542 8.622" Properties=species:S:1:pos:R:3 pbc="T T T"
Al -0.012 0.011 0.107
Rh -2.131 1.917 18.952
Al -0.696 0.626 6.191
Cr -1.409 1.268 12.532
```

Results
E above lowest polymorph (eV/atom): 0.383
Symmetry: R3m
Energy (eV per atom): -6.294


(3)
This record from the Alexandria database describes a geometry-optimized Zr2InSb structure. The functional is PBE.

Structure (extended XYZ):
```
4
Lattice="-1.478 6.082 -3.492 -0.530 3.268 -6.357 -4.300 3.315 -4.679" Properties=species:S:1:pos:R:3 pbc="T T T"
Sb -4.731 9.499 -10.896
Zr -3.149 6.322 -7.251
In -1.577 3.166 -3.632
Zr -0.006 0.011 -0.013
```

Results
E above lowest polymorph (eV/atom): 0.091
Uncorrected formation energy (eV/atom): -0.295
Symmetry: R-3m
Energy (eV per atom): -6.285


(4)
This record from the Alexandria database describes a geometry-optimized In12Cu3Bi5 structure. The functional is PBE.

Structure (extended XYZ):
```
80
Lattice="14.789 0.000 0.000 -4.930 13.943 0.000 -4.930 -6.972 12.075" Properties=species:S:1:pos:R:3 pbc="T T T"
Bi -1.232 3.486 3.019
In 6.674 10.535 3.019
Cu -6.162 6.972 9.056
In 2.262 -2.031 6.670
In -0.720 7.805 4.595
Bi 1.232 4.357 10.566
In 5.134 2.031 11.443
In 10.064 6.504 2.075
In -2.152 -0.545 5.094
In 10.063 1.275 0.943
Cu 11.092 0.000 3.019
Bi 3.697 2.614 1.509
Bi 6.162 6.100 4.528
In 4.617 -1.199 3.963
Cu 6.162 0.871 4.528
In 6.674 2.575 1.576
Bi 3.697 10.457 3.019
In -5.133 5.697 11.132
In 5.242 6.318 9.057
In 10.580 3.409 3.019
Bi -4.930 3.486 6.038
Bi -2.465 -3.486 6.038
Bi 6.162 3.486 9.056
In 7.191 3.306 4.462
In 2.669 5.409 1.442
Cu 1.232 6.972 3.019
Cu 8.627 9.586 1.509
Bi 7.395 0.000 0.000
In 2.669 9.002 0.633
Bi -1.232 0.871 7.547
In -0.313 0.653 3.018
Bi 8.627 -0.871 7.547
In 7.191 12.668 0.943
In 7.707 -0.653 3.018
In -4.726 10.637 4.462
Bi 6.162 -4.357 10.566
In -2.261 -0.468 10.000
Bi -3.697 7.843 4.528
In -0.204 8.535 1.442
In 9.547 0.545 5.094
Bi 4.930 -3.486 6.038
In 2.261 -2.031 11.443
In 7.082 7.517 6.981
In 1.745 0.833 7.480
In 3.185 6.138 4.595
In 2.778 1.199 3.963
Bi -2.465 6.972 0.000
In 5.134 -1.563 10.633
In 5.133 2.031 6.670
In -2.778 7.625 9.057
Cu 1.232 -0.871 4.528
Cu -1.232 6.100 7.547
In 2.261 1.563 10.633
Cu 3.697 7.843 7.547
Bi 0.000 0.000 0.000
In -2.262 -5.697 11.132
Bi 1.232 -3.486 9.056
In -2.262 3.665 7.613
Cu -3.697 -2.614 10.566
Bi -1.232 11.329 1.509
In 2.668 9.003 5.405
In -5.134 0.468 10.000
In -5.650 3.563 9.056
Bi 2.465 3.486 6.038
Cu 3.697 0.000 9.056
In 9.139 -4.396 10.499
In -0.204 4.941 0.633
In 0.313 8.170 8.112
Cu 8.627 4.357 1.509
In -4.210 11.368 1.576
Cu -3.697 2.614 10.566
In 2.152 5.773 8.112
In 9.656 -3.665 7.613
In -1.745 4.396 10.499
In -1.745 -3.563 9.056
In 7.190 7.439 2.075
Bi 4.930 6.972 0.000
In 5.650 -0.833 7.480
In -4.617 6.426 6.981
In -0.203 4.940 5.405
```

Results
Symmetry: Ia-3d
Energy (eV per atom): -3.085


(5)
This record from the Alexandria database describes a geometry-optimized KLaMn2 structure. The functional is PBE.

Structure (extended XYZ):
```
4
Lattice="3.879 -0.005 0.098 1.946 3.356 0.098 1.661 0.955 9.143" Properties=species:S:1:pos:R:3 pbc="T T T"
Mn 5.575 3.207 8.274
La 1.920 1.104 1.232
Mn 1.690 0.972 8.184
K 3.704 2.131 5.462
```

Results
E above lowest polymorph (eV/atom): 0.000
Symmetry: Cm
Energy (eV per atom): -5.605


(6)
This record from the Alexandria database describes a geometry-optimized CaCdIn2Au4 structure. The functional is PBE.

Structure (extended XYZ):
```
8
Lattice="-1.793 3.755 2.446 -4.082 -0.494 2.529 2.518 -1.190 8.436" Properties=species:S:1:pos:R:3 pbc="T T T"
Cd -1.679 1.036 6.706
In -0.854 0.525 3.330
Au -4.149 2.383 7.590
Au 0.791 -0.312 5.822
In -2.503 1.546 10.081
Au -3.219 1.819 4.373
Au -0.139 0.252 9.038
Ca 0.000 0.000 0.000
```

Results
Symmetry: R-3m
Energy (eV per atom): -3.060


(7)
This record from the Alexandria database describes a geometry-optimized TiAlPS2 structure. The functional is PBE.

Structure (extended XYZ):
```
5
Lattice="4.658 0.000 0.000 0.000 4.658 0.000 0.000 0.000 4.860" Properties=species:S:1:pos:R:3 pbc="T T T"
Al 2.329 2.329 2.430
S 2.329 0.000 0.000
P 0.000 0.000 2.430
Ti 0.000 0.000 0.000
S 0.000 2.329 0.000
```

Results
E above lowest polymorph (eV/atom): 0.000
Uncorrected formation energy (eV/atom): -0.138
Symmetry: P4/mmm
Energy (eV per atom): -5.199


(8)
This record from the Alexandria database describes a geometry-optimized Tb6YTe8 structure. The functional is PBE.

Structure (extended XYZ):
```
15
Lattice="7.546 0.000 4.357 2.515 7.115 4.357 0.000 0.000 8.714" Properties=species:S:1:pos:R:3 pbc="T T T"
Te 7.495 5.300 8.714
Te 2.567 1.815 8.714
Te 6.263 1.815 10.848
Te 3.799 5.300 6.580
Tb 3.773 0.000 2.178
Tb 0.000 0.000 4.357
Y 0.000 0.000 0.000
Tb 1.258 3.557 6.535
Te 6.263 1.815 6.580
Te 2.515 1.779 4.357
Te 7.546 5.336 13.071
Tb 5.031 3.557 4.357
Te 3.799 5.300 10.848
Tb 3.773 0.000 6.535
Tb 1.258 3.557 2.178
```

Results
E above lowest polymorph (eV/atom): 0.000
Uncorrected formation energy (eV/atom): -1.387
Symmetry: Fm-3m
Energy (eV per atom): -5.346